Co2WSe | PBE | relaxed

Results
energy	-7.3151	eV per atom
formation energy without anion corrections	0.347	eV/atom
DOS(E_F)	0.75	states/eV per atom
symmetry	No. 44

abc: 4.6986 4.6986 4.6986
angles: 138.64 128.93 67.74
Atoms (fractional coordinates):
Co (0.0000, 0.0000, 0.0000)
Co (0.7369, 0.2369, 0.5000)
W (0.4558, 0.4558, 0.0000)
Se (0.2061, 0.7061, 0.5000)